20
Lattice="7.2859 0.0000 0.0000 0.0000 6.1909 0.0000 -0.0055 0.0000 4.7421" Properties=species:S:1:pos:R:3 comment="Hf2H2N | Alexandria | PBE-GGA | optimized geometry" dft_energy_ev_per_atom=-7.795 mass_density_g_cm3=11.58 sg="P2_1/c (14)" pbc="T T T"
Hf 0.8650 0.6052 1.1504
Hf 0.8623 2.4903 3.5215
Hf 2.6497 3.5270 1.1674
Hf 2.6469 5.7594 3.5384
Hf 4.6335 0.4316 1.2037
Hf 4.6308 2.6639 3.5747
Hf 6.4182 3.7006 1.2206
Hf 6.4154 5.5857 3.5917
H 0.4572 4.3629 2.5549
H 0.4599 4.9235 0.1839
H 2.1279 1.4712 4.6571
H 2.1306 1.6242 2.2860
H 5.1498 4.5667 2.4561
H 5.1526 4.7197 0.0850
H 6.8205 1.2674 4.5582
H 6.8232 1.8280 2.1872
N 2.7392 3.6543 3.5794
N 2.7419 5.6320 1.2083
N 4.5386 0.5589 3.5338
N 4.5413 2.5366 1.1627

80
Lattice="-6.4344 6.4344 6.4344 6.4344 -6.4344 6.4344 6.4344 6.4344 -6.4344" Properties=species:S:1:pos:R:3 comment="U3Ta5N12 | Alexandria | PBE-GGA | optimized geometry" formation_energy_uncorrected_mev_per_atom=-1110.5 mass_density_g_cm3=11.14 sg="Ia-3d (230)" pbc="T T T"
U 3.2172 1.6086 0.0000
U 6.4344 3.2172 -1.6086
U 1.6086 0.0000 3.2172
U 8.0430 0.0000 3.2172
U 0.0000 3.2172 1.6086
U 3.2172 -1.6086 6.4344
U 3.2172 8.0430 0.0000
U 6.4344 3.2172 4.8258
U -1.6086 6.4344 3.2172
U 4.8258 6.4344 3.2172
U 0.0000 3.2172 8.0430
U 3.2172 4.8258 6.4344
Ta 0.0000 0.0000 0.0000
Ta 3.2172 3.2172 -3.2172
Ta 3.2172 -3.2172 3.2172
Ta 6.4344 0.0000 0.0000
Ta 9.6516 1.6086 0.0000
Ta 6.4344 -3.2172 4.8258
Ta 4.8258 6.4344 -3.2172
Ta 4.8258 0.0000 3.2172
Ta 3.2172 4.8258 0.0000
Ta 6.4344 3.2172 1.6086
Ta -3.2172 3.2172 3.2172
Ta 0.0000 6.4344 0.0000
Ta 0.0000 0.0000 6.4344
Ta 3.2172 3.2172 3.2172
Ta 0.0000 3.2172 4.8258
Ta 3.2172 1.6086 6.4344
Ta 1.6086 6.4344 3.2172
Ta 1.6086 0.0000 9.6516
Ta 0.0000 9.6516 1.6086
Ta -3.2172 4.8258 6.4344
N 1.9435 -0.3420 0.7488
N 7.7081 3.9660 -3.5592
N 8.3779 0.3420 0.7488
N 7.7081 -2.4685 3.5592
N 6.0924 -0.7488 1.9435
N 9.9936 -1.2737 2.4685
N 0.7488 1.9435 -0.3420
N 8.9029 2.8752 -1.2737
N 3.9660 3.5592 -1.2737
N 5.6857 1.9435 0.3420
N -0.3420 0.7488 1.9435
N 3.5592 -1.2737 3.9660
N 6.0924 5.6857 -1.9435
N 3.5592 1.2737 2.4685
N 3.9660 -3.5592 7.7081
N 5.6857 -1.9435 6.0924
N 2.4685 3.5592 1.2737
N 7.1832 4.4909 0.3420
N 3.5592 7.7081 -2.4685
N 6.0924 0.7488 4.4909
N 1.9435 6.0924 -0.7488
N 7.7081 2.4685 2.8752
N 1.2737 2.4685 3.5592
N 1.9435 0.3420 5.6857
N 4.4909 6.0924 0.7488
N 5.1607 3.9660 2.8752
N -1.2737 3.9660 3.5592
N 4.4909 0.3420 7.1832
N 0.3420 5.6857 1.9435
N 2.8752 -1.2737 8.9029
N -0.7488 1.9435 6.0924
N 3.9660 2.8752 5.1607
N 0.7488 8.3779 0.3420
N 2.4685 9.9936 -1.2737
N 2.8752 5.1607 3.9660
N 0.3420 0.7488 8.3779
N 2.8752 7.7081 2.4685
N 6.7764 5.6857 4.4909
N 0.7488 4.4909 6.0924
N 2.4685 2.8752 7.7081
N -2.4685 3.5592 7.7081
N 5.6857 4.4909 6.7764
N -3.5592 7.7081 3.9660
N 0.3420 7.1832 4.4909
N -1.2737 8.9029 2.8752
N -1.9435 6.0924 5.6857
N -1.2737 2.4685 9.9936
N 4.4909 6.7764 5.6857